# Ca2TbMn3O9 (PBE+U, relaxed)
data_Ca2TbMn3O9
_chemical_formula_sum 'Ca8 Tb4 Mn12 O36'
_cell_length_a 16.511
_cell_length_b 7.582
_cell_length_c 5.357
_cell_angle_alpha 90.00
_cell_angle_beta 90.00
_cell_angle_gamma 90.00
_symmetry_space_group_name_H-M 'P n m a'
_symmetry_Int_Tables_number 62
loop_
_symmetry_equiv_pos_as_xyz
'x,y,z'
'-x,-y,-z'
'-x+1/2,-y,z+1/2'
'x+1/2,y,-z+1/2'
'x+1/2,-y+1/2,-z+1/2'
'-x+1/2,y+1/2,z+1/2'
'-x,y+1/2,-z'
'x,-y+1/2,z'
loop_
_atom_site_label
_atom_site_type_symbol
_atom_site_fract_x
_atom_site_fract_y
_atom_site_fract_z
Ca1 Ca 0.017 0.250 0.014
Ca2 Ca 0.182 0.250 0.478
Tb1 Tb 0.147 0.750 0.501
Mn1 Mn 0.000 0.000 0.500
Mn2 Mn 0.168 0.002 0.991
O1 O 0.007 0.750 0.415
O2 O 0.073 0.553 0.781
O3 O 0.100 0.035 0.284
O4 O 0.158 0.250 0.906
O5 O 0.177 0.750 0.082
O6 O 0.234 0.548 0.685
# Total magnetization in μB per cell: 40.000
# Energy in eV/atom: -7.321